Compound: Cr3Bi2O8
Source: Alexandria via LeMat-Bulk
Functional: GGA+U
Structure: relaxed

Geometry as POSCAR:
```
Cr3Bi2O8
1.0
6.127 0.000 0.000
-3.063 5.306 0.000
0.000 0.000 10.970
Cr Bi O
6 4 16
Cartesian
0.000 1.732 0.000 Cr
-1.563 4.440 0.000 Cr
1.500 0.866 5.485 Cr
1.563 4.440 0.000 Cr
4.627 0.866 5.485 Cr
3.063 3.574 5.485 Cr
0.000 3.537 3.325 Bi
0.000 3.537 7.537 Bi
3.063 1.769 2.052 Bi
3.063 1.769 8.810 Bi
0.000 0.000 0.968 O
0.000 0.000 6.453 O
-1.376 2.743 1.135 O
0.000 1.658 4.437 O
-1.627 4.477 4.437 O
1.436 0.829 9.922 O
0.000 3.537 9.995 O
1.376 2.743 1.135 O
0.000 5.126 1.135 O
3.063 0.180 6.620 O
1.687 2.563 6.620 O
3.063 1.769 4.510 O
1.627 4.477 4.437 O
4.691 0.829 9.922 O
3.063 3.648 9.922 O
4.439 2.563 6.620 O
```

- DFT total energy: -6.9211 eV per atom
- Crystal system: hexagonal
- Magnetization: 16.0 μB/cell



Compound: CrBi6O12
Source: Alexandria via LeMat-Bulk
Functional: GGA+U
Structure: relaxed

Geometry as POSCAR:
```
CrBi6O12
1.0
5.059 2.921 3.173
-5.059 2.921 3.173
0.000 -5.842 3.173
Cr Bi O
1 6 12
Cartesian
0.000 0.000 0.000 Cr
-2.345 0.461 3.226 Bi
0.773 -2.262 3.226 Bi
-1.572 -1.800 6.293 Bi
1.572 1.800 3.226 Bi
-0.773 2.262 6.293 Bi
2.345 -0.461 6.293 Bi
-3.385 -3.335 5.307 O
-4.581 1.264 4.213 O
-1.294 -1.541 3.736 O
1.196 -4.599 4.213 O
-0.688 1.892 3.736 O
-1.982 0.350 5.783 O
1.982 -0.350 3.736 O
0.688 -1.892 5.783 O
-1.196 4.599 5.307 O
1.294 1.541 5.783 O
4.581 -1.264 5.307 O
3.385 3.335 4.213 O
```

- DFT total energy: -5.9241 eV per atom
- Crystal system: trigonal
- Magnetization: 0.0 μB/cell



Compound: CrBiO5
Source: Alexandria via LeMat-Bulk
Functional: GGA+U
Structure: relaxed

Geometry as POSCAR:
```
CrBiO5
1.0
4.734 0.000 0.000
0.000 11.883 0.000
-0.709 0.000 8.639
Cr Bi O
4 4 20
Cartesian
0.571 1.847 0.631 Cr
0.216 4.095 4.951 Cr
3.809 7.788 3.688 Cr
3.454 10.036 8.008 Cr
-0.068 7.114 7.099 Bi
0.287 10.711 2.779 Bi
3.738 1.172 5.860 Bi
4.093 4.769 1.541 Bi
0.757 6.236 0.674 O
0.403 11.588 4.993 O
0.290 1.303 7.728 O
0.644 4.639 3.409 O
0.681 7.971 3.639 O
0.327 9.853 7.959 O
1.058 0.751 1.817 O
0.704 5.191 6.137 O
0.806 2.539 5.258 O
1.161 3.403 0.938 O
2.864 8.480 7.701 O
3.219 9.344 3.382 O
3.321 6.692 2.502 O
2.967 11.132 6.822 O
3.699 2.030 0.681 O
3.344 3.912 5.001 O
3.381 7.244 5.231 O
3.735 10.580 0.911 O
3.622 0.295 3.646 O
3.268 5.647 7.966 O
```

- Crystal system: monoclinic
- Energy above the most stable polymorph in this dataset: 71 meV/atom
- Magnetization: 4.2 μB/cell



Compound: CrBiO
Source: Alexandria via LeMat-Bulk
Functional: GGA+U
Structure: relaxed

Geometry as POSCAR:
```
CrBiO
1.0
-1.498 1.498 6.991
1.498 -1.498 6.991
1.498 1.498 -6.991
Cr Bi O
1 1 1
Cartesian
0.000 0.000 0.000 Cr
0.000 0.000 10.679 Bi
0.000 0.000 7.050 O
```

- DFT total energy: -6.2109 eV per atom
- Crystal system: tetragonal
- Magnetization: 3.7 μB/cell



Compound: CrBiO3
Source: Alexandria via LeMat-Bulk
Functional: GGA+U
Structure: relaxed

Geometry as POSCAR:
```
CrBiO3
1.0
2.801 1.617 4.606
-2.801 1.617 4.606
0.000 -3.234 4.606
Cr Bi O
2 2 6
Cartesian
0.000 0.000 0.000 Cr
0.000 0.000 6.908 Cr
0.000 0.000 3.836 Bi
0.000 0.000 10.744 Bi
-0.416 -1.529 5.596 O
-1.685 -0.493 7.899 O
-1.116 1.125 5.596 O
1.269 -1.213 7.899 O
1.532 0.404 5.596 O
0.416 1.706 7.899 O
```

- DFT total energy: -6.8322 eV per atom
- Crystal system: trigonal
- Magnetization: 6.0 μB/cell



Compound: Cr2BiOsO8
Source: Alexandria via LeMat-Bulk
Functional: GGA+U
Structure: relaxed

Geometry as POSCAR:
```
Cr2BiOsO8
1.0
3.302 -3.314 0.000
3.302 3.314 0.000
0.000 0.000 6.454
Cr Bi Os O
2 1 1 8
Cartesian
0.000 0.000 1.581 Cr
0.000 0.000 4.873 Cr
3.302 0.000 3.227 Bi
3.302 0.000 0.000 Os
1.151 0.000 3.227 O
1.364 0.000 0.000 O
3.302 1.315 1.428 O
3.302 1.315 5.026 O
3.302 -1.315 1.428 O
3.302 -1.315 5.026 O
5.241 0.000 0.000 O
5.453 0.000 3.227 O
```

- DFT total energy: -7.1799 eV per atom
- Crystal system: orthorhombic
- Magnetization: 5.1 μB/cell



Compound: CrBiOsO6
Source: Alexandria via LeMat-Bulk
Functional: GGA+U
Structure: relaxed

Geometry as POSCAR:
```
CrBiOsO6
1.0
5.226 0.000 0.000
-2.613 4.525 0.000
0.000 0.000 9.849
Cr Bi Os O
2 2 2 12
Cartesian
0.000 3.017 2.462 Cr
2.613 1.508 7.387 Cr
0.000 0.000 0.000 Bi
0.000 0.000 4.924 Bi
0.000 3.017 7.387 Os
2.613 1.508 2.462 Os
-0.927 1.689 6.308 O
-1.614 2.878 8.465 O
0.927 1.689 8.465 O
-0.687 4.484 6.308 O
1.926 0.042 1.384 O
0.999 1.647 3.541 O
1.614 2.878 6.308 O
0.687 4.484 8.465 O
3.299 0.042 3.541 O
1.686 2.837 1.384 O
4.227 1.647 1.384 O
3.540 2.837 3.541 O
```

- DFT total energy: -7.1311 eV per atom
- Crystal system: trigonal
- Magnetization: 9.8 μB/cell



Compound: CrBiP2O
Source: Alexandria via LeMat-Bulk
Functional: GGA+U
Structure: relaxed

Geometry as POSCAR:
```
CrBiP2O
1.0
5.019 0.000 0.000
0.000 5.019 0.000
0.000 0.000 3.608
Cr Bi P O
1 1 2 1
Cartesian
0.000 0.000 0.000 Cr
2.509 2.509 1.804 Bi
0.000 2.509 0.000 P
2.509 0.000 0.000 P
0.000 0.000 1.804 O
```

- Crystal system: tetragonal
- Energy above the most stable polymorph in this dataset: 0 meV/atom
- Magnetization: 2.0 μB/cell